Compound: Li2FePt9
Source: Alexandria via LeMat-Bulk
Functional: PBE-GGA
Structure: optimized geometry

Geometry as extended XYZ:
```
12
Lattice="3.894 0.000 0.000 0.000 3.894 0.000 0.000 0.000 11.668" Properties=species:S:1:pos:R:3 pbc="T T T"
Li 0.000 0.000 3.910
Li 0.000 0.000 7.758
Fe 0.000 0.000 0.000
Pt 1.947 1.947 0.000
Pt 1.947 1.947 3.895
Pt 1.947 1.947 7.773
Pt 1.947 0.000 1.942
Pt 1.947 0.000 5.834
Pt 1.947 0.000 9.726
Pt 0.000 1.947 1.942
Pt 0.000 1.947 5.834
Pt 0.000 1.947 9.726
```

## Properties
Volume, Å³/cell: 176.9
DFT formation energy, meV per atom: -348


Compound: SrIr2Pb
Source: Alexandria via LeMat-Bulk
Functional: PBE-GGA
Structure: optimized geometry

Geometry as extended XYZ:
```
4
Lattice="5.025 0.019 -0.002 -0.740 4.970 -0.002 0.001 0.002 3.288" Properties=species:S:1:pos:R:3 pbc="T T T"
Ir 0.000 0.000 0.000
Ir 2.143 2.495 -0.002
Pb 2.513 0.010 1.643
Sr -0.369 2.486 1.643
```

## Properties
Volume, Å³/cell: 82.2
DFT formation energy, meV per atom: 336